# 1
# PBE TlCuIr2, optimized geometry
# crystal system	tetragonal
# energy relative to the lowest polymorph listed for this composition	1.15	eV per formula unit
# calculated formation energy	0.6477	eV per atom
data_TlCuIr2
_chemical_formula_sum 'Tl4 Cu4 Ir8'
_space_group_name_H-M_alt 'I -4 2 d'
_space_group_IT_number 122
_space_group_name_Hall 'I -4 2bw'
_cell_length_a 3.976
_cell_length_b 3.976
_cell_length_c 18.350
_cell_angle_alpha 90.00
_cell_angle_beta 90.00
_cell_angle_gamma 90.00
loop_
_atom_site_label
_atom_site_fract_x
_atom_site_fract_y
_atom_site_fract_z
Tl1 0.000 0.000 0.000
Cu1 0.000 0.000 0.500
Ir1 0.185 0.250 0.625

# 2
# PBE TmP2PbS8, optimized geometry
# crystal system	trigonal
# uncorrected formation energy	-0.50	eV per atom
data_TmP2PbS8
_chemical_formula_sum 'Tm1 P2 Pb1 S8'
_space_group_name_H-M_alt 'P -3'
_space_group_IT_number 147
_cell_length_a 5.9855
_cell_length_b 5.9855
_cell_length_c 8.9927
_cell_angle_alpha 90.00
_cell_angle_beta 90.00
_cell_angle_gamma 120.00
loop_
_space_group_symop_operation_xyz
'x,y,z'
'-x,-y,-z'
'-y,x-y,z'
'y,-x+y,-z'
'-x+y,-x,z'
'x-y,x,-z'
loop_
_atom_site_label
_atom_site_fract_x
_atom_site_fract_y
_atom_site_fract_z
Tm1 0.0000 0.0000 0.0000
P1 0.3333 0.6667 0.2583
Pb1 0.0000 0.0000 0.5000
S1 0.0022 0.6585 0.8042
S2 0.3333 0.6667 0.4852

# 3
# PBE PuAl2C2, optimized geometry
# crystal system	trigonal
# calculated formation energy	0.0250	eV per atom
data_PuAl2C2
_chemical_formula_sum 'Pu3 Al6 C6'
_space_group_name_H-M_alt 'R -3 m'
_space_group_IT_number 166
_space_group_name_Hall '-R 3 2"'
_cell_length_a 3.2942
_cell_length_b 3.2942
_cell_length_c 22.0731
_cell_angle_alpha 90.00
_cell_angle_beta 90.00
_cell_angle_gamma 120.00
loop_
_atom_site_label
_atom_site_fract_x
_atom_site_fract_y
_atom_site_fract_z
Pu1 0.0000 0.0000 0.0000
Al1 0.0000 0.0000 0.2217
C1 0.0000 0.0000 0.4036

# 4
# PBE Tl3In2Se4, optimized geometry
# crystal system	monoclinic
# uncorrected formation energy	-0.41	eV per atom
data_Tl3In2Se4
_chemical_formula_sum 'Tl6 In4 Se8'
_space_group_name_H-M_alt 'C 1 2/m 1'
_space_group_IT_number 12
_cell_length_a 14.346
_cell_length_b 4.827
_cell_length_c 10.239
_cell_angle_alpha 90.00
_cell_angle_beta 123.97
_cell_angle_gamma 90.00
loop_
_space_group_symop_operation_xyz
'x,y,z'
'-x,-y,-z'
'-x,y,-z'
'x,-y,z'
'x+1/2,y+1/2,z'
'-x+1/2,-y+1/2,-z'
'-x+1/2,y+1/2,-z'
'x+1/2,-y+1/2,z'
loop_
_atom_site_label
_atom_site_fract_x
_atom_site_fract_y
_atom_site_fract_z
Tl1 0.000 0.000 0.000
Tl2 0.134 0.500 0.749
In1 0.175 0.500 0.346
Se1 0.105 0.000 0.391
Se2 0.194 0.500 0.107

# 5
# PBE Ho2Mn16Os, optimized geometry
# crystal system	trigonal
# calculated formation energy	-0.0121	eV per atom
data_Ho2Mn16Os
_chemical_formula_sum 'Ho6 Mn48 Os3'
_space_group_name_H-M_alt 'R 3 m'
_space_group_IT_number 160
_space_group_name_Hall 'R 3 -2"'
_cell_length_a 8.6558
_cell_length_b 8.6558
_cell_length_c 11.7148
_cell_angle_alpha 90.00
_cell_angle_beta 90.00
_cell_angle_gamma 120.00
loop_
_atom_site_label
_atom_site_fract_x
_atom_site_fract_y
_atom_site_fract_z
Ho1 0.0000 0.0000 0.0000
Ho2 0.0000 0.0000 0.2883
Mn1 0.0000 0.0000 0.5402
Mn2 0.0110 0.5055 0.5075
Mn3 0.0558 0.3884 0.3094
Mn4 0.1671 0.3341 0.4778
Mn5 0.1739 0.3478 0.1142
Os1 0.0000 0.0000 0.7451

# 6
# PBE SrTeSe2Br, optimized geometry
# crystal system	tetragonal
# energy relative to the lowest polymorph listed for this composition	0.00	eV per formula unit
# uncorrected formation energy	-0.64	eV per atom
data_SrTeSe2Br
_chemical_formula_sum 'Sr1 Te1 Se2 Br1'
_space_group_name_H-M_alt 'P 4/m m m'
_space_group_IT_number 123
_space_group_name_Hall '-P 4 2'
_cell_length_a 5.520
_cell_length_b 5.520
_cell_length_c 5.401
_cell_angle_alpha 90.00
_cell_angle_beta 90.00
_cell_angle_gamma 90.00
loop_
_atom_site_label
_atom_site_fract_x
_atom_site_fract_y
_atom_site_fract_z
Sr1 0.000 0.000 0.000
Te1 0.500 0.500 0.500
Se1 0.000 0.500 0.500
Br1 0.500 0.500 0.000

# 7
# PBE Sm2ErSi, optimized geometry
# crystal system	trigonal
# energy relative to the lowest polymorph listed for this composition	0.60	eV per formula unit
# uncorrected formation energy	-0.10	eV per atom
data_Sm2ErSi
_chemical_formula_sum 'Sm6 Er3 Si3'
_space_group_name_H-M_alt 'R -3 m'
_space_group_IT_number 166
_space_group_name_Hall '-R 3 2"'
_cell_length_a 3.7377
_cell_length_b 3.7377
_cell_length_c 29.8550
_cell_angle_alpha 90.00
_cell_angle_beta 90.00
_cell_angle_gamma 120.00
loop_
_atom_site_label
_atom_site_fract_x
_atom_site_fract_y
_atom_site_fract_z
Sm1 0.0000 0.0000 0.2319
Er1 0.0000 0.0000 0.0000
Si1 0.0000 0.0000 0.5000

# 8
# PBE Ba2PmSnSe5, optimized geometry
# crystal system	orthorhombic
# uncorrected formation energy	-1.55	eV per atom
data_Ba2PmSnSe5
_chemical_formula_sum 'Ba8 Pm4 Sn4 Se20'
_space_group_name_H-M_alt 'C m c 21'
_space_group_IT_number 36
_cell_length_a 4.550
_cell_length_b 18.974
_cell_length_c 13.322
_cell_angle_alpha 90.00
_cell_angle_beta 90.00
_cell_angle_gamma 90.00
loop_
_space_group_symop_operation_xyz
'x,y,z'
'-x,-y,z+1/2'
'-x,y,z'
'x,-y,z+1/2'
'x+1/2,y+1/2,z'
'-x+1/2,-y+1/2,z+1/2'
'-x+1/2,y+1/2,z'
'x+1/2,-y+1/2,z+1/2'
loop_
_atom_site_label
_atom_site_fract_x
_atom_site_fract_y
_atom_site_fract_z
Ba1 0.000 0.114 0.000
Ba2 0.000 0.132 0.630
Pm1 0.000 0.213 0.336
Sn1 0.000 0.454 0.768
Se1 0.000 0.051 0.375
Se2 0.000 0.288 0.979
Se3 0.000 0.317 0.689
Se4 0.000 0.362 0.318
Se5 0.000 0.495 0.085

These records have calculated volume values of 290.08 279.01 207.44 587.97 760.11 164.56 361.21 1150.24 Å³ per cell, in the order they appear.